Density functional theory data (GGA-PBEsol) for a relaxed structure of ZrHgAs2.

Computed properties:
**Fermi-level density of states**: 1.49 states/eV per cell
**Formation energy from the elements**: -0.428 eV per atom
**Calculated density**: 9109 kg/m³
**Crystal system**: tetragonal

CIF file:
```
data_ZrHgAs2
_chemical_formula_sum 'Zr1 Hg1 As2'
_cell_length_a 3.766
_cell_length_b 3.766
_cell_length_c 5.675
_cell_angle_alpha 90.00
_cell_angle_beta 90.00
_cell_angle_gamma 90.00
_symmetry_space_group_name_H-M 'P 1'
_symmetry_Int_Tables_number 1
_symmetry_space_group_name_Hall 'P 1'
loop_
_atom_site_label
_atom_site_type_symbol
_atom_site_fract_x
_atom_site_fract_y
_atom_site_fract_z
_atom_site_occupancy
Zr1 Zr 0.000 0.000 0.000 1
Hg1 Hg 0.500 0.500 0.665 1
As1 As 0.000 0.000 0.521 1
As2 As 0.500 0.500 0.139 1
```